1.
The following is a PBE with a Hubbard U calculation of an optimized crystal structure of Sr5Mn5O13, from Alexandria via LeMat-Bulk.

Cell: 8.777 8.777 3.877 Å, 90.00 90.00 90.00°
Space group P4/m (No. 83)
Asymmetric unit:
Sr  0.000  0.000  0.000 (multiplicity 1)
Sr  0.219  0.388  0.000 (multiplicity 4)
Mn  0.100  0.698  0.500 (multiplicity 4)
Mn  0.500  0.500  0.500 (multiplicity 1)
O  0.083  0.663  0.000 (multiplicity 4)
O  0.099  0.211  0.500 (multiplicity 4)
O  0.286  0.572  0.500 (multiplicity 4)
O  0.500  0.500  0.000 (multiplicity 1)

The calculation puts the theoretical density at 5119 kg/m³. The density of states at the Fermi level comes out at 2.8 states/eV/f.u. The total energy is -159.937 eV for the cell shown.

2.
The following is a PBE with a Hubbard U calculation of an optimized crystal structure of Sr2MnO, from Alexandria via LeMat-Bulk.

Cell: 7.397 7.397 9.490 Å, 90.00 90.00 90.00°
Space group I-42d (No. 122)
Asymmetric unit:
Sr  0.124  0.750  0.125 (multiplicity 8)
Mn  0.000  0.000  0.500 (multiplicity 4)
O  0.000  0.000  0.000 (multiplicity 4)

The calculation puts the theoretical density at 3149 kg/m³. The density of states at the Fermi level comes out at 0.7 states/eV/f.u. The total energy is -78.214 eV for the cell shown.

3.
The following is a PBE with a Hubbard U calculation of an optimized crystal structure of Sr2MnO5, from Alexandria via LeMat-Bulk.

Cell: 5.813 5.813 6.998 Å, 90.00 90.00 90.00°
Space group I4mm (No. 107)
Asymmetric unit:
Sr  0.000  0.500  0.000 (multiplicity 4)
Mn  0.000  0.000  0.288 (multiplicity 2)
O  0.000  0.000  0.521 (multiplicity 2)
O  0.213  0.213  0.221 (multiplicity 8)

The calculation puts the theoretical density at 4357 kg/m³. The total energy is -100.293 eV for the cell shown.

4.
The following is a PBE with a Hubbard U calculation of an optimized crystal structure of Sr2MnO2, from Alexandria via LeMat-Bulk.

Cell: 7.677 7.677 3.222 Å, 90.00 90.00 90.00°
Space group P4/mbm (No. 127)
Asymmetric unit:
Sr  0.141  0.359  0.000 (multiplicity 4)
Mn  0.000  0.000  0.000 (multiplicity 2)
O  0.144  0.644  0.500 (multiplicity 4)

The calculation puts the theoretical density at 4587 kg/m³. The density of states at the Fermi level comes out at 0.0 states/eV/f.u. The calculation puts the excess energy over the best structure of this formula in the dataset at 3.57 eV per formula unit.

5.
The following is a PBE with a Hubbard U calculation of an optimized crystal structure of SrMn2O4, from Alexandria via LeMat-Bulk.

Cell: 5.746 9.565 3.267 Å, 90.00 90.00 90.00°
Space group Cmmm (No. 65)
Asymmetric unit:
Sr  0.000  0.000  0.000 (multiplicity 2)
Mn  0.000  0.338  0.500 (multiplicity 4)
O  0.203  0.500  0.500 (multiplicity 4)
O  0.250  0.250  0.000 (multiplicity 4)

The calculation puts the theoretical density at 4836 kg/m³. The density of states at the Fermi level comes out at 1.6 states/eV/f.u. The calculation puts the excess energy over the best structure of this formula in the dataset at 1.87 eV per formula unit.

6.
The following is a PBE with a Hubbard U calculation of an optimized crystal structure of Sr2MnO2, from Alexandria via LeMat-Bulk.

Cell: 4.999 4.999 9.833 Å, 90.00 90.00 90.00°
Space group I4/mmm (No. 139)
Asymmetric unit:
Sr  0.000  0.500  0.250 (multiplicity 4)
Mn  0.000  0.000  0.000 (multiplicity 2)
O  0.000  0.000  0.196 (multiplicity 4)

The calculation puts the theoretical density at 3544 kg/m³. The density of states at the Fermi level comes out at 2.4 states/eV/f.u. The calculation puts the excess energy over the best structure of this formula in the dataset at 0.00 eV per formula unit.

7.
The following is a PBE with a Hubbard U calculation of an optimized crystal structure of Sr3Mn2O7, from Alexandria via LeMat-Bulk.

Cell: 3.890 3.890 20.235 Å, 90.00 90.00 90.00°
Space group I4/mmm (No. 139)
Asymmetric unit:
Sr  0.000  0.000  0.000 (multiplicity 2)
Sr  0.000  0.000  0.183 (multiplicity 4)
Mn  0.000  0.000  0.402 (multiplicity 4)
O  0.000  0.000  0.307 (multiplicity 4)
O  0.000  0.000  0.500 (multiplicity 2)
O  0.000  0.500  0.096 (multiplicity 8)

The calculation puts the theoretical density at 5258 kg/m³. The density of states at the Fermi level comes out at 5.2 states/eV/f.u. The total energy is -161.879 eV for the cell shown.

8.
The following is a PBE with a Hubbard U calculation of an optimized crystal structure of Sr2MnO3, from Alexandria via LeMat-Bulk.

Cell: 7.699 3.532 13.650 Å, 90.00 90.00 90.00°
Space group Pnma (No. 62)
Asymmetric unit:
Sr  0.120  0.250  0.223 (multiplicity 4)
Sr  0.182  0.250  0.940 (multiplicity 4)
Mn  0.088  0.250  0.600 (multiplicity 4)
O  0.070  0.250  0.411 (multiplicity 4)
O  0.133  0.250  0.757 (multiplicity 4)
O  0.144  0.750  0.070 (multiplicity 4)

The calculation puts the theoretical density at 4978 kg/m³. The density of states at the Fermi level comes out at 0.0 states/eV/f.u. The calculation puts the excess energy over the best structure of this formula in the dataset at 0.00 eV per formula unit.

9.
The following is a PBE with a Hubbard U calculation of an optimized crystal structure of SrMnO2, from Alexandria via LeMat-Bulk.

Cell: 3.7428 3.7428 18.7772 Å, 90.00 90.00 120.00°
Space group R-3m (No. 166, hexagonal axes)
Asymmetric unit:
Sr  0.0000  0.0000  0.0000 (multiplicity 3)
Mn  0.0000  0.0000  0.5000 (multiplicity 3)
O  0.0000  0.0000  0.4016 (multiplicity 6)

The calculation puts the theoretical density at 3817 kg/m³. The density of states at the Fermi level comes out at 0.5 states/eV/f.u. The total energy is -80.379 eV for the cell shown.

10.
The following is a PBE with a Hubbard U calculation of an optimized crystal structure of Sr16Mn8O29, from Alexandria via LeMat-Bulk.

Cell: 6.901 10.391 10.983 Å, 90.16 90.07 104.04°
Space group P1 (No. 1)
Asymmetric unit:
Sr  0.000  0.000  0.000 (multiplicity 1)
Sr  0.001  0.014  0.493 (multiplicity 1)
Sr  0.179  0.600  0.756 (multiplicity 1)
Sr  0.198  0.618  0.259 (multiplicity 1)
Sr  0.232  0.245  0.745 (multiplicity 1)
Sr  0.255  0.257  0.251 (multiplicity 1)
Sr  0.424  0.860  0.003 (multiplicity 1)
Sr  0.446  0.865  0.497 (multiplicity 1)
Sr  0.480  0.506  0.007 (multiplicity 1)
Sr  0.504  0.505  0.506 (multiplicity 1)
Sr  0.676  0.098  0.742 (multiplicity 1)
Sr  0.680  0.114  0.250 (multiplicity 1)
Sr  0.734  0.749  0.754 (multiplicity 1)
Sr  0.754  0.765  0.259 (multiplicity 1)
Sr  0.928  0.364  0.501 (multiplicity 1)
Sr  0.944  0.350  0.003 (multiplicity 1)
Mn  0.213  0.930  0.749 (multiplicity 1)
Mn  0.215  0.934  0.253 (multiplicity 1)
Mn  0.463  0.183  0.501 (multiplicity 1)
Mn  0.469  0.181  0.001 (multiplicity 1)
Mn  0.712  0.431  0.755 (multiplicity 1)
Mn  0.718  0.432  0.251 (multiplicity 1)
Mn  0.958  0.680  0.001 (multiplicity 1)
Mn  0.971  0.685  0.501 (multiplicity 1)
O  0.078  0.797  0.136 (multiplicity 1)
O  0.080  0.799  0.862 (multiplicity 1)
O  0.107  0.821  0.392 (multiplicity 1)
O  0.181  0.596  0.012 (multiplicity 1)
O  0.215  0.614  0.513 (multiplicity 1)
O  0.225  0.265  0.502 (multiplicity 1)
O  0.247  0.269  0.990 (multiplicity 1)
O  0.325  0.042  0.614 (multiplicity 1)
O  0.331  0.049  0.125 (multiplicity 1)
O  0.347  0.069  0.367 (multiplicity 1)
O  0.356  0.070  0.870 (multiplicity 1)
O  0.435  0.840  0.742 (multiplicity 1)
O  0.454  0.857  0.252 (multiplicity 1)
O  0.470  0.498  0.763 (multiplicity 1)
O  0.495  0.522  0.243 (multiplicity 1)
O  0.575  0.297  0.639 (multiplicity 1)
O  0.591  0.312  0.386 (multiplicity 1)
O  0.606  0.320  0.113 (multiplicity 1)
O  0.700  0.107  0.499 (multiplicity 1)
O  0.712  0.110  0.992 (multiplicity 1)
O  0.718  0.752  0.010 (multiplicity 1)
O  0.746  0.772  0.511 (multiplicity 1)
O  0.810  0.529  0.904 (multiplicity 1)
O  0.852  0.565  0.359 (multiplicity 1)
O  0.853  0.570  0.632 (multiplicity 1)
O  0.933  0.342  0.761 (multiplicity 1)
O  0.962  0.362  0.243 (multiplicity 1)
O  0.968  0.997  0.739 (multiplicity 1)
O  0.977  0.013  0.250 (multiplicity 1)

The calculation puts the theoretical density at 5011 kg/m³. The density of states at the Fermi level comes out at 0.5 states/eV/f.u. The total energy is -355.595 eV for the cell shown.

11.
The following is a PBE with a Hubbard U calculation of an optimized crystal structure of Sr2Mn2O5, from Alexandria via LeMat-Bulk.

Cell: 5.693 5.693 3.734 Å, 90.00 90.00 90.00°
Space group P4/mmm (No. 123)
Asymmetric unit:
Sr  0.000  0.500  0.000 (multiplicity 2)
Mn  0.000  0.000  0.500 (multiplicity 1)
Mn  0.500  0.500  0.500 (multiplicity 1)
O  0.000  0.000  0.000 (multiplicity 1)
O  0.263  0.263  0.500 (multiplicity 4)

The calculation puts the theoretical density at 5009 kg/m³. The density of states at the Fermi level comes out at 1.0 states/eV/f.u. The calculation puts the excess energy over the best structure of this formula in the dataset at 0.64 eV per formula unit.

12.
The following is a PBE with a Hubbard U calculation of an optimized crystal structure of Sr3Mn5O12, from Alexandria via LeMat-Bulk.

Cell: 12.860 12.860 12.860 Å, 90.00 90.00 90.00°
Space group Ia-3d (No. 230)
Asymmetric unit:
Sr  0.000  0.250  0.125 (multiplicity 24)
Mn  0.000  0.000  0.000 (multiplicity 16)
Mn  0.000  0.250  0.375 (multiplicity 24)
O  0.033  0.045  0.647 (multiplicity 96)

The calculation puts the theoretical density at 4557 kg/m³. The density of states at the Fermi level comes out at 9.3 states/eV/f.u. The total energy is -1106.948 eV for the cell shown.

> The lowest theoretical density belongs to which entry?

Sr2MnO

> Among the records above, which one has the highest theoretical density?

Sr3Mn2O7

> What is the theoretical density in the tenth record?

5011 kg/m³

> theoretical density of number 11 (Sr2Mn2O5)?

5009 kg/m³